[1]
Material: BaTeAs2
Method: DFT, PBE
State: relaxed

```
BaTeAs2
1.0
4.260 0.000 0.000
0.000 4.260 0.000
0.000 0.000 6.711
Ba Te As
1 1 2
Direct
0.000 0.000 0.000
0.500 0.500 0.226
0.000 0.000 0.532
0.500 0.500 0.620
```

magnetic moment: 0.0 μB/f.u.
E_form (uncorrected): -0.3224 eV/atom
space-group type: P4mm (99)

=====

[2]
Material: BaTe2As2
Method: DFT, PBE
State: relaxed

```
BaTe2As2
1.0
8.684 0.000 0.000
0.000 8.684 0.000
0.000 0.000 4.167
Ba Te As
2 4 4
Direct
0.000 0.000 0.000
0.500 0.500 0.000
0.224 0.276 0.500
0.276 0.776 0.500
0.724 0.224 0.500
0.776 0.724 0.500
0.132 0.632 0.000
0.368 0.132 0.000
0.632 0.868 0.000
0.868 0.368 0.000
```

magnetic moment: 0.0 μB/f.u.
E_form (uncorrected): -0.4640 eV/atom
space-group type: P4/mbm (127)

=====

[3]
Material: BaTeAs2
Method: DFT, PBE
State: relaxed

```
BaTeAs2
1.0
0.000 3.865 3.865
3.865 0.000 3.865
3.865 3.865 0.000
Ba Te As
1 1 2
Direct
0.000 0.000 0.000
0.250 0.250 0.250
0.500 0.500 0.500
0.750 0.750 0.750
```

magnetic moment: 0.0 μB/f.u.
E_form (uncorrected): -0.1748 eV/atom
space-group type: F-43m (216)

=====

[4]
Material: Ba2ZrTeAs
Method: DFT, PBE
State: relaxed

```
Ba2ZrTeAs
1.0
6.336 0.000 0.000
0.000 6.336 0.000
0.000 0.000 5.140
Ba Zr Te As
2 1 1 1
Direct
0.000 0.500 0.000
0.500 0.000 0.000
0.000 0.000 0.500
0.500 0.500 0.500
0.000 0.000 0.000
```

magnetic moment: 2.8 μB/f.u.
E_form (uncorrected): -0.5878 eV/atom
space-group type: P4/mmm (123)

=====

[5]
Material: BaTh2As3
Method: DFT, PBE
State: relaxed

```
BaTh2As3
1.0
-2.176 3.113 6.645
2.176 -3.113 6.645
2.176 3.113 -6.645
Ba Th As
1 2 3
Direct
0.000 0.000 0.000
0.336 0.336 0.000
0.664 0.664 0.000
0.184 0.684 0.500
0.500 0.000 0.500
0.816 0.316 0.500
```

magnetic moment: 0.0 μB/f.u.
VASP energy: -6.407 eV/atom
space-group type: Immm (71)

=====

[6]
Material: BaTh3As4
Method: DFT, PBE
State: relaxed

```
BaTh3As4
1.0
4.328 0.000 0.000
-2.164 3.748 0.000
0.000 0.000 29.051
Ba Th As
2 6 8
Direct
0.333 0.667 0.250
0.667 0.333 0.750
0.000 0.000 0.000
0.000 0.000 0.500
0.333 0.667 0.618
0.333 0.667 0.882
0.667 0.333 0.118
0.667 0.333 0.382
0.000 0.000 0.174
0.000 0.000 0.326
0.000 0.000 0.674
0.000 0.000 0.826
0.333 0.667 0.059
0.333 0.667 0.441
0.667 0.333 0.559
0.667 0.333 0.941
```

magnetic moment: 0.0 μB/f.u.
VASP energy: -6.698 eV/atom
space-group type: P6_3/mmc (194)

=====

[7]
Material: Ba2TmThAs4
Method: DFT, PBE
State: relaxed

```
Ba2TmThAs4
1.0
7.534 0.000 0.000
0.000 4.406 0.000
-2.550 0.000 7.510
Ba Tm Th As
2 1 1 4
Direct
0.000 0.000 0.000
0.500 0.500 0.000
0.000 0.500 0.500
0.500 0.000 0.500
0.231 0.000 0.708
0.259 0.500 0.289
0.741 0.500 0.711
0.769 0.000 0.292
```

magnetic moment: 0.0 μB/f.u.
VASP energy: -5.501 eV/atom
space-group type: P2/m (10)

=====

[8]
Material: Ba3YTh2As6
Method: DFT, PBE
State: relaxed

```
Ba3YTh2As6
1.0
3.817 -6.616 0.000
3.817 6.616 0.000
-2.547 0.000 7.543
Ba Y Th As
3 1 2 6
Direct
0.000 0.000 0.000
0.334 0.666 0.000
0.666 0.334 0.000
0.500 0.500 0.500
0.167 0.833 0.500
0.833 0.167 0.500
0.097 0.429 0.288
0.238 0.238 0.712
0.429 0.097 0.288
0.571 0.903 0.712
0.762 0.762 0.288
0.903 0.571 0.712
```

magnetic moment: 0.0 μB/f.u.
VASP energy: -5.841 eV/atom
space-group type: C2/m (12)

=====

[9]
Material: BaThZnAs3
Method: DFT, PBE
State: relaxed

```
BaThZnAs3
1.0
9.016 0.000 0.000
0.000 4.323 0.000
-2.093 0.000 9.237
Ba Th Zn As
2 2 2 6
Direct
0.185 0.250 0.235
0.815 0.750 0.765
0.331 0.750 0.844
0.669 0.250 0.156
0.089 0.250 0.604
0.911 0.750 0.396
0.111 0.250 0.872
0.200 0.750 0.522
0.446 0.750 0.166
0.554 0.250 0.834
0.800 0.250 0.478
0.889 0.750 0.128
```

magnetic moment: 0.0 μB/f.u.
VASP energy: -4.945 eV/atom
space-group type: P2_1/m (11)

=====

[10]
Material: Ba2TiAs3
Method: DFT, PBE
State: relaxed

```
Ba2TiAs3
1.0
6.438 -4.627 0.000
6.438 4.627 0.000
0.000 0.000 5.877
Ba Ti As
4 2 6
Direct
0.019 0.684 0.750
0.316 0.981 0.750
0.684 0.019 0.250
0.981 0.316 0.250
0.404 0.596 0.250
0.596 0.404 0.750
0.141 0.859 0.250
0.350 0.350 0.000
0.350 0.350 0.500
0.650 0.650 0.000
0.650 0.650 0.500
0.859 0.141 0.750
```

magnetic moment: 0.1 μB/f.u.
VASP energy: -5.316 eV/atom
space-group type: Cmcm (63)

=====

[11]
Material: Ba2TiAs2
Method: DFT, PBE
State: relaxed

```
Ba2TiAs2
1.0
-3.577 6.787 3.235
3.577 -6.787 3.235
3.577 6.787 -3.235
Ba Ti As
4 2 4
Direct
0.147 0.178 0.324
0.353 0.678 0.031
0.647 0.322 0.969
0.853 0.822 0.676
0.250 0.750 0.500
0.750 0.250 0.500
0.103 0.701 0.805
0.397 0.201 0.598
0.603 0.799 0.402
0.897 0.299 0.195
```

magnetic moment: 0.4 μB/f.u.
VASP energy: -5.152 eV/atom
space-group type: Ibam (72)

=====

[12]
Material: Ba2TiAs2
Method: DFT, PBE
State: relaxed

```
Ba2TiAs2
1.0
7.790 0.000 0.000
0.000 7.790 0.000
0.000 0.000 4.869
Ba Ti As
4 2 4
Direct
0.149 0.351 0.000
0.351 0.851 0.000
0.649 0.149 0.000
0.851 0.649 0.000
0.000 0.000 0.500
0.500 0.500 0.500
0.171 0.671 0.500
0.329 0.171 0.500
0.671 0.829 0.500
0.829 0.329 0.500
```

magnetic moment: 1.9 μB/f.u.
VASP energy: -4.801 eV/atom
space-group type: P4/mbm (127)

=====

[13]
Material: Ba3TiAs3
Method: DFT, PBE
State: relaxed

```
Ba3TiAs3
1.0
9.971 -3.528 0.000
9.971 3.528 0.000
0.000 0.000 13.455
Ba Ti As
12 4 12
Direct
0.007 0.640 0.134
0.140 0.507 0.634
0.159 0.841 0.841
0.341 0.659 0.341
0.360 0.993 0.134
0.493 0.860 0.634
0.507 0.140 0.366
0.640 0.007 0.866
0.659 0.341 0.659
0.841 0.159 0.159
0.860 0.493 0.366
0.993 0.360 0.866
0.083 0.083 0.500
0.417 0.417 0.000
0.583 0.583 0.000
0.917 0.917 0.500
0.032 0.657 0.383
0.157 0.532 0.883
0.210 0.790 0.593
0.290 0.710 0.093
0.343 0.968 0.383
0.468 0.843 0.883
0.532 0.157 0.117
0.657 0.032 0.617
0.710 0.290 0.907
0.790 0.210 0.407
0.843 0.468 0.117
0.968 0.343 0.617
```

magnetic moment: 0.4 μB/f.u.
VASP energy: -4.993 eV/atom
space-group type: Cmce (64)

=====

[14]
Material: Ba3TiAs4
Method: DFT, PBE
State: relaxed

```
Ba3TiAs4
1.0
8.977 0.000 0.000
0.000 11.102 0.000
0.000 0.000 10.210
Ba Ti As
12 4 16
Direct
0.044 0.048 0.190
0.044 0.452 0.190
0.162 0.750 0.413
0.338 0.250 0.913
0.456 0.548 0.690
0.456 0.952 0.690
0.544 0.048 0.310
0.544 0.452 0.310
0.662 0.750 0.087
0.838 0.250 0.587
0.956 0.548 0.810
0.956 0.952 0.810
0.234 0.250 0.462
0.266 0.750 0.962
0.734 0.250 0.038
0.766 0.750 0.538
0.030 0.750 0.079
0.124 0.045 0.530
0.124 0.455 0.530
0.204 0.750 0.733
0.296 0.250 0.233
0.376 0.545 0.030
0.376 0.955 0.030
0.470 0.250 0.579
0.530 0.750 0.421
0.624 0.045 0.970
0.624 0.455 0.970
0.704 0.750 0.767
0.796 0.250 0.267
0.876 0.545 0.470
0.876 0.955 0.470
0.970 0.250 0.921
```

magnetic moment: 0.0 μB/f.u.
VASP energy: -5.045 eV/atom
space-group type: Pnma (62)

=====

[15]
Material: BaTi2As
Method: DFT, PBE
State: relaxed

```
BaTi2As
1.0
0.000 3.419 3.419
3.419 0.000 3.419
3.419 3.419 0.000
Ba Ti As
1 2 1
Direct
0.000 0.000 0.000
0.250 0.250 0.250
0.750 0.750 0.750
0.500 0.500 0.500
```

magnetic moment: 2.4 μB/f.u.
VASP energy: -5.267 eV/atom
space-group type: Fm-3m (225)

=====

[16]
Material: BaTi2As
Method: DFT, PBE
State: relaxed

```
BaTi2As
1.0
-2.404 2.404 9.549
2.404 -2.404 9.549
2.404 2.404 -9.549
Ba Ti As
2 4 2
Direct
0.375 0.625 0.750
0.625 0.375 0.250
0.000 0.000 0.000
0.000 0.000 0.500
0.000 0.500 0.000
0.500 0.000 0.500
0.125 0.875 0.250
0.875 0.125 0.750
```

magnetic moment: 0.0 μB/f.u.
VASP energy: -5.563 eV/atom
space-group type: I4_1/amd (141)

=====

[17]
Material: Ba3Tl2As4
Method: DFT, PBE
State: relaxed

```
Ba3Tl2As4
1.0
8.554 -2.362 0.000
8.554 2.362 0.000
-2.317 0.000 7.266
Ba Tl As
3 2 4
Direct
0.000 0.000 0.000
0.138 0.138 0.572
0.862 0.862 0.428
0.336 0.336 0.014
0.664 0.664 0.986
0.214 0.214 0.216
0.491 0.491 0.330
0.509 0.509 0.670
0.786 0.786 0.784
```

magnetic moment: 0.0 μB/f.u.
VASP energy: -3.955 eV/atom
space-group type: C2/m (12)

=====

[18]
Material: BaTl2As
Method: DFT, PBE
State: relaxed

```
BaTl2As
1.0
4.062 0.000 0.000
0.000 4.062 0.000
0.000 0.000 7.457
Ba Tl As
1 2 1
Direct
0.000 0.000 0.000
0.500 0.500 0.302
0.500 0.500 0.698
0.000 0.000 0.500
```

magnetic moment: 0.0 μB/f.u.
VASP energy: -3.050 eV/atom
space-group type: P4/mmm (123)

=====

[19]
Material: BaTl2As
Method: DFT, PBE
State: relaxed

```
BaTl2As
1.0
0.000 3.974 3.974
3.974 0.000 3.974
3.974 3.974 0.000
Ba Tl As
1 2 1
Direct
0.000 0.000 0.000
0.250 0.250 0.250
0.750 0.750 0.750
0.500 0.500 0.500
```

magnetic moment: 0.0 μB/f.u.
VASP energy: -3.060 eV/atom
space-group type: Fm-3m (225)

=====

[20]
Material: Ba2Tl2As
Method: DFT, PBE
State: relaxed

```
Ba2Tl2As
1.0
8.210 0.000 0.000
0.000 8.210 0.000
0.000 0.000 5.339
Ba Tl As
4 4 2
Direct
0.175 0.325 0.000
0.325 0.825 0.000
0.675 0.175 0.000
0.825 0.675 0.000
0.135 0.635 0.500
0.365 0.135 0.500
0.635 0.865 0.500
0.865 0.365 0.500
0.000 0.000 0.500
0.500 0.500 0.500
```

magnetic moment: 0.0 μB/f.u.
VASP energy: -3.024 eV/atom
space-group type: P4/mbm (127)